VASP calculation (PBE-GGA) on a geometry-optimized CsHf2Rh2 structure.

Cell lengths 4.618, 4.618, 12.480 Å; angles 90.00, 90.00, 90.00 degrees
Element x y z (fractional)
Cs  0.000  0.000  0.000
Cs  0.500  0.500  0.500
Hf  0.000  0.000  0.347
Hf  0.000  0.000  0.653
Hf  0.500  0.500  0.153
Hf  0.500  0.500  0.847
Rh  0.000  0.500  0.250
Rh  0.000  0.500  0.750
Rh  0.500  0.000  0.250
Rh  0.500  0.000  0.750

Results
- Total magnetic moment: 0.0 μB/f.u.
- Electronic total energy: -0.5134 Ry per atom
- E_form: 107 meV/atom
- Calculated density: 8.7 Mg/m³